8
Lattice="5.616 0.000 0.000 0.000 3.147 0.000 -2.169 0.000 5.476" Properties=species:S:1:pos:R:3 comment="Na2HfMnO4 GGA+U optimized geometry" vol_a3_per_cell=96.8 spacegroup="P2/m, No. 10" density_g_cm3=5.9 energy_ev_per_cell=-57.0 pbc="T T T"
Na 0.000 0.000 0.000
Na 2.808 1.573 0.000
Hf -1.084 1.573 2.738
Mn 1.723 0.000 2.738
O -0.387 0.000 3.963
O 0.767 1.573 1.718
O 2.680 1.573 3.758
O 3.834 0.000 1.513